A plane-wave DFT calculation with PBE was carried out for a relaxed PaMnSe crystal.

The structure in POSCAR format:
```
PaMnSe
1.0
3.8238 0.0000 0.0000
0.3570 3.8553 0.0000
1.1573 1.2714 8.9799
Pa Mn Se
2 2 2
Direct
0.1893 0.1312 0.3174
0.8107 0.8688 0.6826
0.2158 0.5258 0.5750
0.7842 0.4742 0.4250
0.3072 0.2829 0.8384
0.6928 0.7171 0.1616
```

Summary:
SG: P-1
Uncorrected formation energy: -2.05 eV/f.u.